{"formula": "Cs4Hg3Bi", "functional": "PBE", "state": "relaxed", "e_form_mev_per_atom": -277, "lattice": [[-2.491, 3.286, -4.087], [-4.743, -1.154, 1.962], [0.775, 10.890, 8.282]], "species": ["Cs", "Cs", "Cs", "Cs", "Bi", "Hg", "Hg", "Hg"], "frac_coords": [[0.000, 0.000, 0.143], [0.500, 0.000, 0.647], [0.000, 0.500, 0.862], [0.500, 0.500, 0.347], [0.500, 0.500, 0.057], [0.000, 0.500, 0.560], [0.500, 0.000, 0.938], [0.000, 0.000, 0.445]]}

{"formula": "Sr2YHf", "functional": "PBE", "state": "relaxed", "de_polymorph_mev_per_atom": 0, "e_form_mev_per_atom": 682, "lattice": [[0.000, 4.140, 4.140], [4.140, 0.000, 4.140], [4.140, 4.140, 0.000]], "species": ["Sr", "Sr", "Hf", "Y"], "frac_coords": [[0.250, 0.250, 0.250], [0.750, 0.750, 0.750], [0.500, 0.500, 0.500], [0.000, 0.000, 0.000]]}

{"formula": "Th2UCo3Ni12", "functional": "PBE", "state": "relaxed", "e_form_mev_per_atom": 372, "lattice": [[-1.918, -3.667, -5.975], [-4.108, -5.909, 1.017], [-6.964, 0.522, -2.013]], "species": ["Co", "Co", "Co", "U", "Ni", "Ni", "Ni", "Ni", "Ni", "Ni", "Ni", "Ni", "Ni", "Ni", "Ni", "Ni", "Th", "Th"], "frac_coords": [[0.000, 0.000, 0.500], [0.000, 0.500, 0.000], [0.500, 0.000, 0.000], [0.000, 0.000, 0.000], [0.636, 0.636, 0.102], [0.386, 0.860, 0.860], [0.140, 0.140, 0.614], [0.898, 0.364, 0.364], [0.364, 0.898, 0.364], [0.636, 0.102, 0.636], [0.860, 0.386, 0.860], [0.140, 0.614, 0.140], [0.364, 0.364, 0.898], [0.860, 0.860, 0.386], [0.102, 0.636, 0.636], [0.614, 0.140, 0.140], [0.605, 0.605, 0.605], [0.395, 0.395, 0.395]]}

{"formula": "RbNb2VZn", "functional": "PBE", "state": "relaxed", "e_form_mev_per_atom": 1124, "lattice": [[4.725, 0.000, 0.000], [0.000, 5.406, 0.000], [0.000, 0.000, 4.725]], "species": ["Rb", "Zn", "Nb", "Nb", "V"], "frac_coords": [[0.500, 0.500, 0.500], [0.000, 0.500, 0.000], [0.000, 0.000, 0.500], [0.500, 0.000, 0.000], [0.000, 0.000, 0.000]]}

Going through the records in order, we get magnetization values of 0.00; 0.00; 6.48; 0.00 μB per formula unit.